(1)
Here is CaAl2CdAu5 after structural relaxation from Alexandria. Energies are from PBE.

abc: 4.838 4.838 7.925
angles: 90.00 90.00 90.00
Space group P4/mmm (No. 123)
Asymmetric unit:
Ca (0.000, 0.000, 0.000) x1
Al (0.500, 0.500, 0.340) x2
Cd (0.000, 0.000, 0.500) x1
Au (0.000, 0.500, 0.237) x4
Au (0.500, 0.500, 0.000) x1

Summary:
* DFT formation energy: -341.3 meV/atom
* D(E_F): 2.0 states/eV per cell
* crystal system: tetragonal

(2)
Here is Ca2AlCd2Au4 after structural relaxation from Alexandria. Energies are from PBE.

abc: 6.825 6.825 8.760
angles: 90.00 90.00 90.00
Space group I4/mmm (No. 139)
Asymmetric unit:
Ca (0.000, 0.500, 0.250) x4
Al (0.000, 0.000, 0.000) x2
Cd (0.000, 0.000, 0.307) x4
Au (0.240, 0.240, 0.500) x8

Summary:
* DFT formation energy: -475.1 meV/atom
* D(E_F): 7.2 states/eV per cell
* crystal system: tetragonal

(3)
Here is CaAlCd2Au5 after structural relaxation from Alexandria. Energies are from PBE.

abc: 4.932 5.735 14.780
angles: 90.00 90.00 90.00
Space group Immm (No. 71)
Asymmetric unit:
Ca (0.000, 0.000, 0.000) x2
Al (0.000, 0.000, 0.500) x2
Cd (0.000, 0.500, 0.192) x4
Au (0.000, 0.261, 0.360) x8
Au (0.000, 0.500, 0.000) x2

Summary:
* DFT formation energy: -286.1 meV/atom
* D(E_F): 6.1 states/eV per cell
* crystal system: orthorhombic

(4)
Here is CaAl2CdAu2 after structural relaxation from Alexandria. Energies are from PBE.

abc: 4.5052 4.5052 7.0887
angles: 90.00 90.00 120.00
Space group P-3m1 (No. 164)
Asymmetric unit:
Ca (0.0000, 0.0000, 0.0000) x1
Al (0.3333, 0.6667, 0.7067) x2
Cd (0.0000, 0.0000, 0.5000) x1
Au (0.3333, 0.6667, 0.2817) x2

Summary:
* DFT formation energy: -470.9 meV/atom
* D(E_F): 2.1 states/eV per cell
* crystal system: trigonal

(5)
Here is CaAlCdAu3 after structural relaxation from Alexandria. Energies are from PBE.

abc: 5.952 17.195 5.897
angles: 90.00 90.00 90.00
Space group Cmcm (No. 63)
Asymmetric unit:
Ca (0.000, 0.212, 0.250) x4
Al (0.000, 0.418, 0.750) x4
Cd (0.000, 0.118, 0.750) x4
Au (0.000, 0.275, 0.750) x4
Au (0.240, 0.000, 0.000) x8

Summary:
* DFT formation energy: -323.0 meV/atom
* D(E_F): 10.3 states/eV per cell
* crystal system: orthorhombic

(6)
Here is CaAl4Cu2Au after structural relaxation from Alexandria. Energies are from PBE.

abc: 4.2223 4.2223 28.2581
angles: 90.00 90.00 120.00
Space group R-3m (No. 166, hexagonal axes)
Asymmetric unit:
Ca (0.0000, 0.0000, 0.0000) x3
Al (0.0000, 0.0000, 0.1223) x6
Al (0.0000, 0.0000, 0.4053) x6
Cu (0.0000, 0.0000, 0.2527) x6
Au (0.0000, 0.0000, 0.5000) x3

Summary:
* DFT formation energy: -250.1 meV/atom
* D(E_F): 9.2 states/eV per cell
* crystal system: trigonal